Entry P
Entry from the Alexandria database: a relaxed HoScCuPd crystal (PBE).

N(E_F) in states/eV/f.u.: 3.1

Lattice parameters (Å, degrees): 6.7784 6.7784 6.7784 90.00 90.00 90.00
With the nearest neighbours (Å) after each atom.
Space group F-43m (No. 216)
Unique sites:
Ho  0.0000  0.0000  0.0000  4 Cu 2.94, 4 Pd 2.94
Sc  0.0000  0.0000  0.5000  4 Cu 2.94, 4 Pd 2.94
Cu  0.2500  0.2500  0.7500  4 Ho 2.94, 4 Sc 2.94
Pd  0.2500  0.2500  0.2500  4 Ho 2.94, 4 Sc 2.94

=====

Entry Q
Entry from the Alexandria database: a relaxed HoScCuPd crystal (PBE).

N(E_F) in states/eV/f.u.: 2.1

Lattice parameters (Å, degrees): 4.4736 3.5631 10.1355 90.00 90.00 90.00
With the nearest neighbours (Å) after each atom.
Space group Amm2 (No. 38)
Unique sites:
Ho  0.0000  0.0000  0.0000  3 Cu 2.80-2.88, 4 Pd 2.93
Sc  0.5000  0.0000  0.2789  3 Pd 2.81-2.90, 4 Cu 2.91
Cu  0.0000  0.0000  0.7233  2 Pd 2.75, 3 Ho 2.80-2.88, 4 Sc 2.91
Pd  0.5000  0.0000  0.5649  2 Cu 2.75, 3 Sc 2.81-2.90, 4 Ho 2.93

=====

Which one is most stable, and which one is least stable? entry Q is the most stable of them, while entry P is the least stable.

=====

Entry P
Entry from the Alexandria database: a relaxed SmHoCuPd crystal (PBE).

N(E_F) in states/eV/f.u.: 2.7

Lattice parameters (Å, degrees): 4.5844 3.7765 10.4845 90.00 90.00 90.00
With the nearest neighbours (Å) after each atom.
Space group Amm2 (No. 38)
Unique sites:
Sm  0.0000  0.0000  0.0000  3 Cu 2.95-2.97, 4 Pd 3.04
Ho  0.5000  0.0000  0.2774  3 Pd 2.93-3.00, 4 Cu 3.03
Cu  0.0000  0.0000  0.7184  2 Pd 2.81, 3 Sm 2.95-2.97, 4 Ho 3.03
Pd  0.5000  0.0000  0.5640  2 Cu 2.81, 3 Ho 2.93-3.00, 4 Sm 3.04

=====

Entry Q
Entry from the Alexandria database: a relaxed SmHoCuPd crystal (PBE).

N(E_F) in states/eV/f.u.: 2.7

Lattice parameters (Å, degrees): 7.0502 7.0502 7.0502 90.00 90.00 90.00
With the nearest neighbours (Å) after each atom.
Space group F-43m (No. 216)
Unique sites:
Sm  0.0000  0.0000  0.0000  4 Pd 3.05, 4 Cu 3.05
Ho  0.0000  0.0000  0.5000  4 Cu 3.05, 4 Pd 3.05
Cu  0.2500  0.2500  0.7500  4 Ho 3.05, 4 Sm 3.05
Pd  0.2500  0.2500  0.2500  4 Ho 3.05, 4 Sm 3.05

=====

Which one is most stable, and which one is least stable? entry P is the most stable of them, while entry Q is the least stable.

=====

Entry P
Entry from the Alexandria database: a relaxed YHoCuPd crystal (PBE).

N(E_F) in states/eV/f.u.: 2.4

Lattice parameters (Å, degrees): 4.5291 3.7240 10.4706 90.00 90.00 90.00
With the nearest neighbours (Å) after each atom.
Space group Amm2 (No. 38)
Unique sites:
Y  0.0000  0.0000  0.0000  3 Pd 2.95, 4 Cu 3.00
Ho  0.5000  0.0000  0.7225  3 Cu 2.93-2.97, 4 Pd 3.00
Cu  0.5000  0.0000  0.4389  2 Pd 2.80, 3 Ho 2.93-2.97, 4 Y 3.00
Pd  0.0000  0.0000  0.2817  2 Cu 2.80, 3 Y 2.95, 4 Ho 3.00

=====

Entry Q
Entry from the Alexandria database: a relaxed YHoCuPd crystal (PBE).

N(E_F) in states/eV/f.u.: 2.9

Lattice parameters (Å, degrees): 6.9832 6.9832 6.9832 90.00 90.00 90.00
With the nearest neighbours (Å) after each atom.
Space group F-43m (No. 216)
Unique sites:
Y  0.0000  0.0000  0.0000  4 Pd 3.02, 4 Cu 3.02
Ho  0.0000  0.0000  0.5000  4 Cu 3.02, 4 Pd 3.02
Cu  0.2500  0.2500  0.2500  4 Ho 3.02, 4 Y 3.02
Pd  0.2500  0.2500  0.7500  4 Ho 3.02, 4 Y 3.02

=====

Which one is most stable, and which one is least stable? entry P is the most stable of them, while entry Q is the least stable.